Entry one
ErGaAg2, relaxed, DFT GGA-PBE; symmetry = P4/mmm, No. 123; calculated volume = 81.73 Å³ per cell; size of the total moment = 0.00 μB per cell
1.0
4.336 0.000 0.000
0.000 4.341 0.000
0.000 0.000 4.341
Ga Ag Er
1 2 1
Cartesian
2.168 0.000 0.000
0.000 0.000 2.171
0.000 2.171 0.000
2.168 2.171 2.171



Entry two
ErGaAg2, relaxed, DFT GGA-PBE; symmetry = P2_1/m, No. 11; calculated volume = 159.24 Å³ per cell; size of the total moment = 0.00 μB per cell
1.0
-3.284 3.424 -0.855
0.085 -1.215 -5.188
-4.536 -4.127 0.898
Er Ga Ag
2 2 4
Cartesian
-5.837 -0.956 -1.792
-1.898 -0.962 -3.354
-3.575 1.184 -1.912
-4.160 -3.102 -3.234
-6.911 -2.568 -4.122
-0.824 0.650 -1.024
-4.675 -0.533 -4.562
-3.060 -1.385 -0.584



Entry three
ErGaAg2, relaxed, DFT GGA-PBE; symmetry = Cmcm, No. 63; calculated volume = 331.11 Å³ per cell; size of the total moment = 0.00 μB per cell
1.0
-3.248 1.224 -2.217
-5.644 -5.540 5.209
0.339 5.794 6.529
Er Ga Ag
4 4 8
Cartesian
-4.446 -2.158 1.496
-1.624 0.612 -1.108
-5.039 -0.134 7.309
-3.513 1.613 2.213
-3.021 -0.903 3.928
-8.061 -0.101 7.929
-0.492 1.580 1.593
-5.531 2.381 5.594
-4.025 4.163 4.371
-7.027 2.292 7.736
-4.528 -2.685 5.151
-1.526 -0.814 1.786
-5.506 -0.041 4.219
-3.046 1.519 5.303
-1.287 3.246 3.679
-7.266 -1.768 5.843



Entry four
ErGaAg2, relaxed, DFT GGA-PBE; symmetry = P4/mmm, No. 123; calculated volume = 82.99 Å³ per cell; size of the total moment = 0.00 μB per cell
1.0
3.657 0.000 0.000
0.000 3.657 0.000
0.000 0.000 6.206
Ga Ag Er
1 2 1
Cartesian
1.828 1.828 0.000
0.000 0.000 4.709
0.000 0.000 1.497
1.828 1.828 3.103



The winner here is entry two, beating the second structure by 29 meV/atom.



Entry one
Er2Ga3Ag2, relaxed, DFT GGA-PBE; symmetry = Cmcm, No. 63; calculated volume = 287.43 Å³ per cell; size of the total moment = 0.00 μB per cell
1.0
4.064 0.000 -0.969
0.000 7.319 0.000
0.148 0.000 9.628
Er Ga Ag
4 6 4
Cartesian
0.671 1.830 2.816
3.541 5.489 5.843
3.971 1.830 7.647
0.241 5.489 1.012
0.993 5.489 4.164
3.219 1.830 4.494
2.280 3.087 0.555
1.932 4.232 8.104
1.932 6.746 8.104
2.280 0.572 0.555
2.842 6.923 2.912
1.370 0.395 5.747
1.370 3.264 5.747
2.842 4.055 2.912



Entry two
Er2Ga3Ag2, relaxed, DFT GGA-PBE; symmetry = C2/m, No. 12; calculated volume = 141.20 Å³ per cell; size of the total moment = 0.00 μB per cell
1.0
-4.372 -0.257 0.156
2.551 -4.455 2.590
-0.183 5.438 3.848
Er Ga Ag
2 3 2
Cartesian
-1.971 -2.114 2.829
-0.033 2.840 3.765
-2.186 -0.129 0.078
-2.196 1.350 2.246
0.192 -0.625 4.349
-2.068 0.773 4.863
0.065 -0.047 1.731



The winner here is entry one, beating the second structure by 30 meV/atom.



Entry one
Er5Ga2Ag, relaxed, DFT GGA-PBE; symmetry = I4/mcm, No. 140; calculated volume = 406.18 Å³ per cell; size of the total moment = 0.00 μB per cell
1.0
6.751 0.000 -3.187
-1.504 6.581 -3.187
0.119 0.150 8.997
Er Ga Ag
10 4 2
Cartesian
2.579 4.616 2.517
4.064 6.479 -3.081
0.000 0.000 0.000
2.623 3.291 -3.187
1.302 0.252 5.704
4.432 1.325 3.591
-0.551 3.543 4.630
0.934 5.406 -0.968
5.917 3.188 -2.007
2.787 2.115 0.106
0.263 2.482 -1.593
4.021 0.809 -2.377
1.226 5.772 -3.997
4.984 4.100 -4.780
3.995 5.011 -0.282
1.371 1.720 2.905



Entry two
Er5Ga2Ag, relaxed, DFT GGA-PBE; symmetry = C2, No. 5; calculated volume = 195.40 Å³ per cell; size of the total moment = 0.00 μB per cell
1.0
-5.363 -0.445 -4.123
-2.961 -4.642 3.957
2.222 5.637 2.265
Er Ga Ag
5 2 1
Cartesian
-2.269 3.700 -0.133
0.248 4.190 2.102
-3.907 1.646 2.026
-3.609 -3.508 2.018
-5.135 -0.973 0.509
-2.214 -0.839 2.908
-3.696 1.087 -1.137
-0.737 1.155 1.395



The winner here is entry one, beating the second structure by 126 meV/atom.



Entry one
Er2Ga3Ag5, relaxed, DFT GGA-PBE; symmetry = Cmc2_1, No. 36; calculated volume = 392.30 Å³ per cell; size of the total moment = 0.00 μB per cell
1.0
-2.844 2.515 -2.520
-2.784 -5.814 -2.661
-6.869 -1.473 10.404
Er Ga Ag
4 6 10
Cartesian
-10.212 -4.709 6.827
-4.888 -4.317 1.208
-7.497 -0.220 4.123
-2.419 -0.342 -1.731
-7.780 -2.667 2.000
-4.754 -2.130 -0.880
-3.574 -5.670 -1.625
-4.187 -0.997 3.731
-10.156 -1.675 5.671
-6.768 -0.606 7.035
-7.799 -2.935 5.873
-5.904 -2.865 3.804
-7.831 -4.491 0.236
-2.778 -1.584 1.555
-7.467 -5.216 3.223
-9.088 0.634 6.771
-5.724 -1.005 1.338
-9.793 -3.343 3.598
-2.429 -3.358 -0.611
-5.957 -4.464 -1.852



Entry two
Er2Ga3Ag5, relaxed, DFT GGA-PBE; symmetry = Ibam, No. 72; calculated volume = 403.56 Å³ per cell; size of the total moment = 0.00 μB per cell
1.0
-4.672 -0.923 -3.265
-6.054 -4.338 4.785
-5.314 7.062 0.502
Er Ga Ag
4 6 10
Cartesian
-4.971 -1.763 2.507
-6.964 3.062 -1.111
-11.069 3.564 -0.485
-9.076 -1.261 3.134
-8.803 2.955 1.550
-11.343 -0.652 1.099
-7.238 -1.154 0.473
-4.698 2.453 0.923
-1.168 -0.231 -0.816
-3.504 -0.693 -2.448
-8.470 5.221 0.433
-11.317 -3.113 1.759
-7.570 -3.420 1.589
-4.723 4.914 0.264
-10.913 1.609 2.398
-5.128 0.192 -0.375
-9.188 0.670 0.195
-6.852 1.131 1.827
-2.792 0.654 1.257
-13.249 1.148 0.765



The winner here is entry one, beating the second structure by 34 meV/atom.